# NbCuNO2 (PBE, relaxed)
data_NbCuNO2
_chemical_formula_sum 'Nb1 Cu1 N1 O2'
_cell_length_a 3.6594
_cell_length_b 3.6594
_cell_length_c 3.7852
_cell_angle_alpha 90.00
_cell_angle_beta 90.00
_cell_angle_gamma 90.00
_symmetry_space_group_name_H-M 'P 4/m m m'
_symmetry_Int_Tables_number 123
_symmetry_space_group_name_Hall '-P 4 2'
loop_
_atom_site_label
_atom_site_fract_x
_atom_site_fract_y
_atom_site_fract_z
_atom_site_occupancy
Nb1 0.0000 0.0000 0.0000 1
Cu1 0.5000 0.5000 0.5000 1
N1 0.5000 0.5000 0.0000 1
O1 0.0000 0.5000 0.5000 1
# Density of states at the Fermi level: 3.84 states/eV per cell
# Spin magnetization: 0.0 μB/cell
# Formation energy (no corrections): 43 meV/atom